{
  "formula": "La2PW",
  "functional": "PBE",
  "state": "optimized geometry",
  "relative_energy_kj_per_mol_fu": 53,
  "delta_e_f_ev_per_atom": -0.169,
  "spacegroup": "No. 99",
  "lattice_angstrom": [[3.3535, 0.0000, 0.0000], [0.0000, 3.3535, 0.0000], [0.0000, 0.0000, 8.7156]],
  "species": ["La", "La", "P", "W"],
  "frac_coords": [[0.0000, 0.0000, 0.9286], [0.5000, 0.5000, 0.3298], [0.0000, 0.0000, 0.5667], [0.5000, 0.5000, 0.6749]]
}

***

{
  "formula": "AcTb4PrS8",
  "functional": "PBE",
  "state": "optimized geometry",
  "formation_energy_uncorrected_kcal_per_mol_atoms": -44.43,
  "spacegroup": "No. 160",
  "lattice_angstrom": [[8.2176, 0.0000, 0.0000], [4.1088, 7.1166, 0.0000], [4.1088, 2.3722, 6.8011]],
  "species": ["Ac", "Tb", "Tb", "Tb", "Tb", "Pr", "S", "S", "S", "S", "S", "S", "S", "S"],
  "frac_coords": [[0.3739, 0.3739, 0.8782], [0.6260, 0.6260, 0.1221], [0.9982, 0.5064, 0.4972], [0.5064, 0.9982, 0.4972], [0.9982, 0.9982, 0.4972], [0.9978, 0.9978, 0.0067], [0.2415, 0.7915, 0.7255], [0.7915, 0.2415, 0.7255], [0.2415, 0.2415, 0.7255], [0.2347, 0.2347, 0.2960], [0.7489, 0.2352, 0.2670], [0.2352, 0.7489, 0.2670], [0.7489, 0.7489, 0.2670], [0.7573, 0.7573, 0.7281]]
}

***

{
  "formula": "PrGd3",
  "functional": "PBE",
  "state": "optimized geometry",
  "relative_energy_kj_per_mol_fu": 2,
  "delta_e_f_ev_per_atom": 0.010,
  "spacegroup": "No. 47",
  "lattice_angstrom": [[-3.8918, -1.8674, -2.6983], [3.2775, -2.6175, -2.9157], [-0.3188, -3.9792, 3.2138]],
  "species": ["Pr", "Gd", "Gd", "Gd"],
  "frac_coords": [[0.0000, 0.5000, 0.6667], [0.0000, 0.0000, 0.1667], [0.5000, 0.0000, 0.6667], [0.5000, 0.5000, 0.1666]]
}

***

{
  "formula": "FeCoTc4",
  "functional": "PBE",
  "state": "optimized geometry",
  "delta_e_f_ev_per_atom": 0.558,
  "spacegroup": "No. 216",
  "lattice_angstrom": [[0.0000, 3.5514, 3.5514], [3.5514, 0.0000, 3.5514], [3.5514, 3.5514, 0.0000]],
  "species": ["Fe", "Co", "Tc", "Tc", "Tc", "Tc"],
  "frac_coords": [[0.0000, 0.0000, 0.0000], [0.7500, 0.7500, 0.7500], [0.8744, 0.3752, 0.3752], [0.3752, 0.3752, 0.8744], [0.3752, 0.8744, 0.3752], [0.3752, 0.3752, 0.3752]]
}

***

{
  "formula": "Y2CrCu",
  "functional": "PBE",
  "state": "optimized geometry",
  "delta_e_f_ev_per_atom": 0.377,
  "spacegroup": "No. 166",
  "lattice_angstrom": [[-1.6352, 6.1130, 6.1789], [-4.4915, 4.0193, 6.4725], [-1.4723, 3.1490, 8.1325]],
  "species": ["Cr", "Cu", "Y", "Y"],
  "frac_coords": [[0.2500, 0.2500, 0.2500], [0.7500, 0.7500, 0.7500], [0.0035, 0.0035, 0.0035], [0.4965, 0.4965, 0.4965]]
}

***

{
  "formula": "Nd2Te2N",
  "functional": "PBE",
  "state": "optimized geometry",
  "formation_energy_uncorrected_kcal_per_mol_atoms": -25.94,
  "spacegroup": "No. 36",
  "lattice_angstrom": [[4.2922, 0.0000, 0.0000], [0.0000, 8.2791, 0.0000], [-2.1461, 0.0000, 7.8735]],
  "species": ["Nd", "Nd", "Nd", "Nd", "Te", "Te", "Te", "Te", "N", "N"],
  "frac_coords": [[0.4468, 0.4018, 0.8935], [0.8597, 0.0484, 0.7194], [0.1403, 0.5484, 0.2806], [0.5532, 0.9018, 0.1065], [0.9424, 0.7016, 0.8848], [0.7835, 0.3923, 0.5670], [0.2165, 0.8923, 0.4330], [0.0576, 0.2016, 0.1152], [0.4208, 0.0903, 0.8416], [0.5792, 0.5903, 0.1584]]
}